A plane-wave DFT calculation with PBE was carried out for crystalline ThScCuTc at its relaxed geometry.

## Properties
total DFT energy (no corrections)	-7.2294	eV/atom
ΔE_f	-176	meV/atom

a b c (Å): 6.8448 6.8448 6.8448
angles (deg): 90.00 90.00 90.00
With the nearest neighbours (Å) after each atom.
Space group F-43m (No. 216)
Inequivalent atoms, fractional coordinates:
Th (0.0000, 0.0000, 0.0000) (multiplicity 4)  4 Tc 2.96, 4 Cu 2.96
Sc (0.0000, 0.0000, 0.5000) (multiplicity 4)  4 Tc 2.96, 4 Cu 2.96
Cu (0.2500, 0.2500, 0.2500) (multiplicity 4)  4 Th 2.96, 4 Sc 2.96
Tc (0.2500, 0.2500, 0.7500) (multiplicity 4)  4 Th 2.96, 4 Sc 2.96